# Pm2Pr2Th3 (PBE-GGA, optimized geometry)
# **Formation energy**: 0.5 eV/f.u.
data_Pm2Pr2Th3
_cell_length_a 3.571
_cell_length_b 37.521
_cell_length_c 3.577
_cell_angle_alpha 90.00
_cell_angle_beta 90.00
_cell_angle_gamma 90.00
_space_group_name_H-M_alt 'C m m m'
_space_group_IT_number 65
_space_group_name_Hall '-C 2 2'
loop_
_atom_site_label
_atom_site_type_symbol
_atom_site_fract_x
_atom_site_fract_y
_atom_site_fract_z
Pm1 Pm 0.000 0.135 0.000
Pr1 Pr 0.000 0.292 0.500
Th1 Th 0.000 0.000 0.000
Th2 Th 0.000 0.433 0.500

***

# AlSbBr2 (PBE-GGA, optimized geometry)
# **Uncorrected formation energy**: -1.349 eV/f.u.
# **Energy above the most stable polymorph in this dataset**: 0 meV per atom
data_AlSbBr2
_cell_length_a 5.704
_cell_length_b 4.362
_cell_length_c 7.210
_cell_angle_alpha 90.00
_cell_angle_beta 100.95
_cell_angle_gamma 90.00
_space_group_name_H-M_alt 'P 1 m 1'
_space_group_IT_number 6
loop_
_space_group_symop_operation_xyz
'x,y,z'
'x,-y,z'
loop_
_atom_site_label
_atom_site_type_symbol
_atom_site_fract_x
_atom_site_fract_y
_atom_site_fract_z
Al1 Al 0.000 0.000 0.000
Sb1 Sb 0.059 0.500 0.793
Br1 Br 0.577 0.500 0.725
Br2 Br 0.821 0.000 0.257

***

# TbPmDyMg (PBE-GGA, optimized geometry)
# **Energy above the most stable polymorph in this dataset**: 0 meV per atom
# **Formation energy**: -0.1 eV/f.u.
data_TbPmDyMg
_cell_length_a 3.638
_cell_length_b 3.638
_cell_length_c 9.152
_cell_angle_alpha 90.00
_cell_angle_beta 90.00
_cell_angle_gamma 90.00
_space_group_name_H-M_alt 'P 4 m m'
_space_group_IT_number 99
loop_
_space_group_symop_operation_xyz
'x,y,z'
'-y,x,z'
'-x,-y,z'
'y,-x,z'
'-x,y,z'
'y,x,z'
'x,-y,z'
'-y,-x,z'
loop_
_atom_site_label
_atom_site_type_symbol
_atom_site_fract_x
_atom_site_fract_y
_atom_site_fract_z
Tb1 Tb 0.000 0.000 0.000
Pm1 Pm 0.500 0.500 0.272
Dy1 Dy 0.000 0.000 0.542
Mg1 Mg 0.500 0.500 0.770

***

Number 1: E_tot -81.6 eV for the cell shown, theoretical density 8.8 g/cm³. Number 2: E_tot -12.6 eV for the cell shown, theoretical density 2.9 g/cm³. Number 3: E_tot -15.7 eV for the cell shown, theoretical density 6.7 g/cm³.